Entry from the Alexandria database: a geometry-optimized NaLi2Pa structure (PBE-GGA).

## Properties
Total magnetic moment ... 0.01 μB per cell
Calculated volume ... 97 Å³/f.u.
Space group ... R-3m, No. 166
Calculated formation energy ... 26.4 kJ per mole of atoms

Cell lengths 3.062, 3.062, 35.765 Å; angles 90.00, 90.00, 120.00 degrees
Positions (direct):
Na1 0.000 0.000 0.000
Na2 0.333 0.667 0.667
Na3 0.667 0.333 0.333
Li1 0.000 0.000 0.416
Li2 0.000 0.000 0.584
Li3 0.333 0.667 0.082
Li4 0.333 0.667 0.251
Li5 0.667 0.333 0.749
Li6 0.667 0.333 0.918
Pa1 0.000 0.000 0.500
Pa2 0.333 0.667 0.167
Pa3 0.667 0.333 0.833

=====

Entry from the Alexandria database: a geometry-optimized BaCa2Br structure (PBE-GGA).

## Properties
Total magnetic moment ... 0.00 μB per cell
Calculated volume ... 169 Å³/f.u.
Space group ... Pm, No. 6
Uncorrected energy ... -2.559 eV/atom

Cell lengths 4.049, 3.935, 10.770 Å; angles 90.00, 100.78, 90.00 degrees
Positions (direct):
Ba1 0.000 0.000 0.000
Ca1 0.278 0.000 0.562
Ca2 0.650 0.500 0.302
Br1 0.395 0.500 0.789